Entry 1:
# HgPb3C

A relaxed HgPb3C crystal (PBE, the Alexandria database).

Calculated values
**N(E_F)**: 0.52 states/eV per atom
**Space-group type**: Pm-3m (221)
**Formation enthalpy at 0 K**: 1774.9 meV per atom
**Crystal system**: cubic
**Distance to the lowest polymorph of the same formula**: 899 meV per atom

Lattice parameters (Å, degrees): 5.744 5.744 5.744 90.00 90.00 90.00
Last column: magnetic moment on the atom in μB.
Positions (direct):
Pb 0.000 0.500 0.000  -0.07
Pb 0.000 0.000 0.500  -0.10
Pb 0.500 0.000 0.000  -0.06
C 0.500 0.500 0.500  0.87
Hg 0.000 0.000 0.000  -0.02


Entry 2:
# HgPb2C

A relaxed HgPb2C crystal (PBE, the Alexandria database).

Calculated values
**N(E_F)**: 0.00 states/eV per atom
**Space-group type**: I-42d (122)
**Formation enthalpy at 0 K**: 913.7 meV per atom
**Crystal system**: tetragonal
**Distance to the lowest polymorph of the same formula**: 0 meV per atom

Lattice parameters (Å, degrees): 6.526 6.526 7.003 62.23 62.23 90.00
Positions (direct):
Pb 0.543 0.125 0.250
Pb 0.207 0.625 0.250
Pb 0.375 0.457 0.750
Pb 0.875 0.793 0.750
C 0.500 0.500 0.000
C 0.250 0.750 0.500
Hg 0.000 0.000 0.000
Hg 0.750 0.250 0.500


Entry 3:
# HgPb2C

A relaxed HgPb2C crystal (PBE, the Alexandria database).

Calculated values
**N(E_F)**: 0.48 states/eV per atom
**Space-group type**: Fm-3m (225)
**Formation enthalpy at 0 K**: 1300.2 meV per atom
**Crystal system**: cubic
**Distance to the lowest polymorph of the same formula**: 386 meV per atom

Lattice parameters (Å, degrees): 5.107 5.107 5.107 60.00 60.00 60.00
Positions (direct):
Pb 0.250 0.250 0.250
Pb 0.750 0.750 0.750
C 0.000 0.000 0.000
Hg 0.500 0.500 0.500


Entry 4:
# Hg3PbC

A relaxed Hg3PbC crystal (PBE, the Alexandria database).

Calculated values
**N(E_F)**: 1.32 states/eV per atom
**Space-group type**: Pm-3m (221)
**Formation enthalpy at 0 K**: 1552.8 meV per atom
**Crystal system**: cubic
**Distance to the lowest polymorph of the same formula**: 571 meV per atom

Lattice parameters (Å, degrees): 5.943 5.943 5.943 90.00 90.00 90.00
Last column: magnetic moment on the atom in μB.
Positions (direct):
Pb 0.000 0.000 0.000  -0.02
C 0.500 0.500 0.500  1.06
Hg 0.000 0.500 0.000  0.01
Hg 0.000 0.000 0.500  -0.01
Hg 0.500 0.000 0.000  0.02


Entry 5:
# Hg3PbC

A relaxed Hg3PbC crystal (PBE, the Alexandria database).

Calculated values
**N(E_F)**: 0.40 states/eV per atom
**Space-group type**: Pm-3m (221)
**Formation enthalpy at 0 K**: 981.9 meV per atom
**Crystal system**: cubic
**Distance to the lowest polymorph of the same formula**: 0 meV per atom

Lattice parameters (Å, degrees): 4.893 4.893 4.893 90.00 90.00 90.00
Positions (direct):
Pb 0.500 0.500 0.500
C 0.000 0.000 0.000
Hg 0.000 0.500 0.000
Hg 0.000 0.000 0.500
Hg 0.500 0.000 0.000


Entry 6:
# HgPb3C

A relaxed HgPb3C crystal (PBE, the Alexandria database).

Calculated values
**N(E_F)**: 0.85 states/eV per atom
**Space-group type**: Pm-3m (221)
**Formation enthalpy at 0 K**: 876.4 meV per atom
**Crystal system**: cubic
**Distance to the lowest polymorph of the same formula**: 0 meV per atom

Lattice parameters (Å, degrees): 5.125 5.125 5.125 90.00 90.00 90.00
Positions (direct):
Pb 0.000 0.500 0.000
Pb 0.000 0.000 0.500
Pb 0.500 0.000 0.000
C 0.000 0.000 0.000
Hg 0.500 0.500 0.500


Entry 7:
# RbHg2PbC

A relaxed RbHg2PbC crystal (PBE, the Alexandria database).

Calculated values
**N(E_F)**: 0.47 states/eV per atom
**Space-group type**: P4/mmm (123)
**Formation enthalpy at 0 K**: 898.9 meV per atom
**Crystal system**: tetragonal

Lattice parameters (Å, degrees): 6.287 4.581 6.287 90.00 90.00 90.00
Last column: magnetic moment on the atom in μB.
Positions (direct):
Pb 0.000 0.000 0.000  -0.04
C 0.000 0.500 0.000  0.30
Hg 0.000 0.000 0.500  -0.01
Hg 0.500 0.000 0.000  0.00
Rb 0.500 0.500 0.500  0.00


Entry 8:
# Sc4HgPbC

A relaxed Sc4HgPbC crystal (PBE, the Alexandria database).

Calculated values
**N(E_F)**: 0.72 states/eV per atom
**Space-group type**: Cmcm (63)
**Formation enthalpy at 0 K**: -483.5 meV per atom
**Crystal system**: orthorhombic

Lattice parameters (Å, degrees): 6.419 6.397 7.979 90.00 113.72 90.00
Positions (direct):
Sc 0.911 0.250 0.823
Sc 0.405 0.750 0.809
Sc 0.089 0.750 0.177
Sc 0.595 0.250 0.191
Sc 0.500 0.500 0.500
Sc 0.000 0.000 0.500
Sc 0.500 0.000 0.500
Sc 0.000 0.500 0.500
Hg 0.113 0.250 0.225
Hg 0.887 0.750 0.775
Pb 0.609 0.750 0.217
Pb 0.391 0.250 0.783
C 0.248 0.750 0.496
C 0.752 0.250 0.504


Entry 9:
# Sc6HgPb2C

A relaxed Sc6HgPb2C crystal (PBE, the Alexandria database).

Calculated values
**N(E_F)**: 0.57 states/eV per atom
**Space-group type**: P4/mmm (123)
**Formation enthalpy at 0 K**: -171.2 meV per atom
**Crystal system**: tetragonal

Lattice parameters (Å, degrees): 4.979 4.979 9.746 90.00 90.00 90.00
Positions (direct):
Sc 0.500 0.000 0.000
Sc 0.500 0.000 0.500
Sc 0.000 0.500 0.000
Sc 0.000 0.500 0.500
Sc 0.500 0.500 0.721
Sc 0.500 0.500 0.279
Hg 0.500 0.500 0.000
Pb 0.000 0.000 0.740
Pb 0.000 0.000 0.260
C 0.500 0.500 0.500


Entry 10:
# HgTePbC2

A relaxed HgTePbC2 crystal (PBE, the Alexandria database).

Calculated values
**N(E_F)**: 0.43 states/eV per atom
**Space-group type**: P4/mmm (123)
**Crystal system**: tetragonal
**Uncorrected formation energy**: 2.28 eV/atom

Lattice parameters (Å, degrees): 4.662 4.662 6.417 90.00 90.00 90.00
Last column: magnetic moment on the atom in μB.
Positions (direct):
Pb 0.000 0.000 0.000  0.01
C 0.000 0.500 0.000  0.80
C 0.500 0.000 0.000  0.80
Te 0.000 0.000 0.500  0.11
Hg 0.500 0.500 0.500  0.02


Entry 11:
# Tm4HgPbC

A relaxed Tm4HgPbC crystal (PBE, the Alexandria database).

Calculated values
**N(E_F)**: 0.44 states/eV per atom
**Space-group type**: Cmcm (63)
**Formation enthalpy at 0 K**: -445.3 meV per atom
**Crystal system**: orthorhombic

Lattice parameters (Å, degrees): 6.820 6.794 8.279 90.00 114.32 90.00
Positions (direct):
Tm 0.916 0.250 0.833
Tm 0.409 0.750 0.817
Tm 0.084 0.750 0.167
Tm 0.591 0.250 0.183
Tm 0.500 0.500 0.500
Tm 0.000 0.000 0.500
Tm 0.500 0.000 0.500
Tm 0.000 0.500 0.500
Hg 0.116 0.250 0.232
Hg 0.884 0.750 0.768
Pb 0.613 0.750 0.225
Pb 0.387 0.250 0.775
C 0.248 0.750 0.497
C 0.752 0.250 0.503


Entry 12:
# VHg2PbC

A relaxed VHg2PbC crystal (PBE, the Alexandria database).

Calculated values
**N(E_F)**: 1.02 states/eV per atom
**Space-group type**: P4/mmm (123)
**Formation enthalpy at 0 K**: 1330.9 meV per atom
**Crystal system**: tetragonal

Lattice parameters (Å, degrees): 4.441 5.669 4.441 90.00 90.00 90.00
Last column: magnetic moment on the atom in μB.
Positions (direct):
Pb 0.000 0.500 0.000  -0.04
C 0.000 0.000 0.000  0.07
Hg 0.000 0.000 0.500  -0.03
Hg 0.500 0.000 0.000  0.01
V 0.500 0.500 0.500  2.78